Entry i
Crystalline LaBe2Br at its relaxed geometry, computed with GGA-PBE.

a = 4.927 Å, b = 4.927 Å, c = 4.927 Å
α = 60.00°, β = 60.00°, γ = 60.00°
Element x y z (fractional)
La: 0.000 0.000 0.000
Be: 0.250 0.250 0.250
Be: 0.750 0.750 0.750
Br: 0.500 0.500 0.500


Entry ii
Crystalline LaBe2Br at its relaxed geometry, computed with GGA-PBE.

a = 3.594 Å, b = 4.151 Å, c = 6.168 Å
α = 90.00°, β = 90.00°, γ = 90.00°
Element x y z (fractional)
La: 0.000 0.000 0.000
Be: 0.500 0.000 0.658
Be: 0.500 0.500 0.706
Br: 0.500 0.500 0.271


Of them, entry ii has the highest stability.